[1]
An optimized crystal structure of CuAg, computed with GGA-PBE.

```
data_CuAg
_symmetry_space_group_name_H-M 'P 1'
_symmetry_Int_Tables_number 1
_cell_length_a 2.710
_cell_length_b 2.782
_cell_length_c 8.362
_cell_angle_alpha 90.00
_cell_angle_beta 90.00
_cell_angle_gamma 90.00
loop_
_symmetry_equiv_pos_as_xyz
'x,y,z'
loop_
_atom_site_label
_atom_site_type_symbol
_atom_site_fract_x
_atom_site_fract_y
_atom_site_fract_z
Cu1 Cu 0.250 0.250 0.095
Cu2 Cu 0.750 0.750 0.905
Ag1 Ag 0.250 0.750 0.366
Ag2 Ag 0.750 0.250 0.634
```

Results
SG = Pmmn, No. 59



[2]
An optimized crystal structure of Cu4Ag5, computed with GGA-PBE.

```
data_Cu4Ag5
_symmetry_space_group_name_H-M 'P 1'
_symmetry_Int_Tables_number 1
_cell_length_a 7.317
_cell_length_b 7.317
_cell_length_c 6.777
_cell_angle_alpha 92.45
_cell_angle_beta 92.45
_cell_angle_gamma 22.37
loop_
_symmetry_equiv_pos_as_xyz
'x,y,z'
loop_
_atom_site_label
_atom_site_type_symbol
_atom_site_fract_x
_atom_site_fract_y
_atom_site_fract_z
Cu1 Cu 0.058 0.058 0.335
Cu2 Cu 0.279 0.279 0.652
Cu3 Cu 0.721 0.721 0.348
Cu4 Cu 0.942 0.942 0.665
Ag1 Ag 0.168 0.168 0.017
Ag2 Ag 0.389 0.389 0.344
Ag3 Ag 0.500 0.500 0.000
Ag4 Ag 0.611 0.611 0.656
Ag5 Ag 0.832 0.832 0.983
```

Results
Energy relative to the lowest polymorph listed for this composition = 0.55 eV per formula unit
SG = C2/m, No. 12



[3]
An optimized crystal structure of CuAg8, computed with GGA-PBE.

```
data_CuAg8
_symmetry_space_group_name_H-M 'P 1'
_symmetry_Int_Tables_number 1
_cell_length_a 2.910
_cell_length_b 2.910
_cell_length_c 21.223
_cell_angle_alpha 90.00
_cell_angle_beta 90.00
_cell_angle_gamma 120.00
loop_
_symmetry_equiv_pos_as_xyz
'x,y,z'
loop_
_atom_site_label
_atom_site_type_symbol
_atom_site_fract_x
_atom_site_fract_y
_atom_site_fract_z
Cu1 Cu 0.000 0.000 0.000
Ag1 Ag 0.000 0.000 0.329
Ag2 Ag 0.000 0.000 0.671
Ag3 Ag 0.333 0.667 0.215
Ag4 Ag 0.333 0.667 0.557
Ag5 Ag 0.333 0.667 0.899
Ag6 Ag 0.667 0.333 0.101
Ag7 Ag 0.667 0.333 0.443
Ag8 Ag 0.667 0.333 0.785
```

Results
Energy relative to the lowest polymorph listed for this composition = 0.09 eV per formula unit
SG = P-3m1, No. 164



no.,energy of formation (eV/f.u.),calculated total energy (eV per atom)
1,0.39,-3.078
2,0.89,-3.122
3,0.27,-2.894